Compound: NdTm3Pd4
Source: Alexandria
Functional: GGA-PBE
Structure: optimized geometry

The structure in extended XYZ format:
```
8
Lattice="2.456 1.418 8.275 -2.456 1.418 8.275 0.000 -2.835 8.275" Properties=species:S:1:pos:R:3 pbc="T T T"
Nd 0.000 0.000 0.000
Tm 0.000 0.000 6.155
Tm 0.000 0.000 12.412
Tm 0.000 0.000 18.670
Pd 0.000 0.000 3.193
Pd 0.000 0.000 9.534
Pd 0.000 0.000 15.290
Pd 0.000 0.000 21.631
```

Summary:
ρ = 10.34 Mg/m³
M_tot = 0.000 μB/cell
energy of formation from the pure elements = -0.89 eV per atom